i.
BeCoAsBr2: relaxed, PBE.

Summary:
- DOS at the Fermi energy: 3.338 states/eV per cell

Cell: 5.0249 5.0249 4.4359 Å, 90.00 90.00 90.00°
With the nearest neighbours (Å) after each atom.
Space group P4/mmm (No. 123)
Inequivalent atoms, fractional coordinates:
Be (0.0000, 0.0000, 0.0000) [1 per cell]  8 Br 3.35, 4 As 3.55
Co (0.5000, 0.5000, 0.5000) [1 per cell]  2 As 2.22
As (0.5000, 0.5000, 0.0000) [1 per cell]  2 Co 2.22
Br (0.0000, 0.5000, 0.5000) [2 per cell]  2 Co 2.51


ii.
BeCoAsBr2: relaxed, PBE.

Summary:
- DOS at the Fermi energy: 7.107 states/eV per cell

Cell: 4.7947 4.7947 4.5655 Å, 90.00 90.00 90.00°
With the nearest neighbours (Å) after each atom.
Space group P4/mmm (No. 123)
Inequivalent atoms, fractional coordinates:
Be (0.0000, 0.0000, 0.0000) [1 per cell]  2 As 2.28, 4 Br 2.40
Co (0.5000, 0.5000, 0.5000) [1 per cell]  8 Br 3.31, 4 As 3.39
As (0.0000, 0.0000, 0.5000) [1 per cell]  2 Be 2.28
Br (0.0000, 0.5000, 0.0000) [2 per cell]  2 Be 2.40


Of them, i has the highest stability.


i.
BeCuAs2Br: relaxed, PBE.

Summary:
- DOS at the Fermi energy: 2.623 states/eV per cell

Cell: 4.3967 4.3967 5.1799 Å, 90.00 90.00 90.00°
With the nearest neighbours (Å) after each atom.
Space group P4/mmm (No. 123)
Inequivalent atoms, fractional coordinates:
Be (0.0000, 0.0000, 0.0000) [1 per cell]  4 As 2.20
Cu (0.5000, 0.5000, 0.5000) [1 per cell]  4 Br 3.11, 8 As 3.40
As (0.0000, 0.5000, 0.0000) [2 per cell]  2 Be 2.20
Br (0.0000, 0.0000, 0.5000) [1 per cell]  2 Be 2.59


ii.
BeCuAs2Br: relaxed, PBE.

Summary:
- DOS at the Fermi energy: 3.621 states/eV per cell

Cell: 4.6883 4.6883 5.0828 Å, 90.00 90.00 90.00°
With the nearest neighbours (Å) after each atom.
Space group P4/mmm (No. 123)
Inequivalent atoms, fractional coordinates:
Be (0.0000, 0.0000, 0.0000) [1 per cell]  4 Br 3.32, 8 As 3.46
Cu (0.5000, 0.5000, 0.5000) [1 per cell]  4 As 2.34, 2 Br 2.54
As (0.0000, 0.5000, 0.5000) [2 per cell]  2 Cu 2.34
Br (0.5000, 0.5000, 0.0000) [1 per cell]  2 Cu 2.54


Of them, i has the highest stability.


i.
BeCuAsBr2: relaxed, PBE.

Summary:
- DOS at the Fermi energy: 3.571 states/eV per cell

Cell: 4.9993 4.9993 4.8450 Å, 90.00 90.00 90.00°
With the nearest neighbours (Å) after each atom.
Space group P4/mmm (No. 123)
Inequivalent atoms, fractional coordinates:
Be (0.0000, 0.0000, 0.0000) [1 per cell]  8 Br 3.48, 4 As 3.54
Cu (0.5000, 0.5000, 0.5000) [1 per cell]  2 As 2.42, 4 Br 2.50
As (0.5000, 0.5000, 0.0000) [1 per cell]  2 Cu 2.42
Br (0.0000, 0.5000, 0.5000) [2 per cell]  2 Cu 2.50


ii.
BeCuAsBr2: relaxed, PBE.

Summary:
- DOS at the Fermi energy: 3.842 states/eV per cell

Cell: 4.9404 4.9404 4.4369 Å, 90.00 90.00 90.00°
With the nearest neighbours (Å) after each atom.
Space group P4/mmm (No. 123)
Inequivalent atoms, fractional coordinates:
Be (0.0000, 0.0000, 0.0000) [1 per cell]  2 As 2.22, 4 Br 2.47
Cu (0.5000, 0.5000, 0.5000) [1 per cell]  8 Br 3.32, 4 As 3.49
As (0.0000, 0.0000, 0.5000) [1 per cell]  2 Be 2.22
Br (0.0000, 0.5000, 0.0000) [2 per cell]  2 Be 2.47


iii.
BeCuAsBr2: relaxed, PBE.

Summary:
- DOS at the Fermi energy: 3.560 states/eV per cell

Cell: 5.0653 5.0653 4.2694 Å, 90.00 90.00 90.00°
With the nearest neighbours (Å) after each atom.
Space group P4/mmm (No. 123)
Inequivalent atoms, fractional coordinates:
Be (0.0000, 0.0000, 0.0000) [1 per cell]  2 Cu 2.13
Cu (0.0000, 0.0000, 0.5000) [1 per cell]  2 Be 2.13
As (0.5000, 0.5000, 0.0000) [1 per cell]  8 Br 3.31, 4 Be 3.58
Br (0.0000, 0.5000, 0.5000) [2 per cell]  2 Cu 2.53


Of them, ii has the highest stability.


i.
BeFeAs2Br: relaxed, PBE.

Summary:
- DOS at the Fermi energy: 6.284 states/eV per cell

Cell: 4.4072 4.4072 5.0619 Å, 90.00 90.00 90.00°
With the nearest neighbours (Å) after each atom.
Space group P4/mmm (No. 123)
Inequivalent atoms, fractional coordinates:
Be (0.0000, 0.0000, 0.0000) [1 per cell]  4 As 2.20
Fe (0.5000, 0.5000, 0.5000) [1 per cell]  4 Br 3.12, 8 As 3.36
As (0.0000, 0.5000, 0.0000) [2 per cell]  2 Be 2.20
Br (0.0000, 0.0000, 0.5000) [1 per cell]  2 Be 2.53


ii.
BeFeAs2Br: relaxed, PBE.

Summary:
- DOS at the Fermi energy: 4.169 states/eV per cell

Cell: 4.4388 4.4388 5.3185 Å, 90.00 90.00 90.00°
With the nearest neighbours (Å) after each atom.
Space group P4/mmm (No. 123)
Inequivalent atoms, fractional coordinates:
Be (0.0000, 0.0000, 0.0000) [1 per cell]  4 Br 3.14, 8 As 3.46
Fe (0.5000, 0.5000, 0.5000) [1 per cell]  4 As 2.22
As (0.0000, 0.5000, 0.5000) [2 per cell]  2 Fe 2.22
Br (0.5000, 0.5000, 0.0000) [1 per cell]  2 Fe 2.66


Of them, ii has the highest stability.


i.
BeAs2HBr: relaxed, PBE.

Summary:
- DOS at the Fermi energy: 4.246 states/eV per cell

Cell: 4.4139 4.4139 5.2549 Å, 90.00 90.00 90.00°
With the nearest neighbours (Å) after each atom.
Space group P4/mmm (No. 123)
Inequivalent atoms, fractional coordinates:
Be (0.0000, 0.0000, 0.0000) [1 per cell]  4 As 2.21
As (0.0000, 0.5000, 0.0000) [2 per cell]  2 Be 2.21
H (0.5000, 0.5000, 0.5000) [1 per cell]  4 Br 3.12, 8 As 3.43
Br (0.0000, 0.0000, 0.5000) [1 per cell]  2 Be 2.63


ii.
BeAs2HBr: relaxed, PBE.

Summary:
- DOS at the Fermi energy: 1.498 states/eV per cell

Cell: 3.7476 3.7476 7.1302 Å, 90.00 90.00 90.00°
With the nearest neighbours (Å) after each atom.
Space group P4/mmm (No. 123)
Inequivalent atoms, fractional coordinates:
Be (0.0000, 0.0000, 0.0000) [1 per cell]  4 Br 2.65
As (0.0000, 0.5000, 0.5000) [2 per cell]  2 H 1.87
H (0.5000, 0.5000, 0.5000) [1 per cell]  4 As 1.87
Br (0.5000, 0.5000, 0.0000) [1 per cell]  4 Be 2.65


Of them, ii has the highest stability.


i.
HfBeAs2Br: relaxed, PBE.

Summary:
- DOS at the Fermi energy: 2.561 states/eV per cell

Cell: 4.4791 4.4791 4.8202 Å, 90.00 90.00 90.00°
With the nearest neighbours (Å) after each atom.
Space group P4/mmm (No. 123)
Inequivalent atoms, fractional coordinates:
Hf (0.0000, 0.0000, 0.0000) [1 per cell]  4 Br 3.17, 8 As 3.29
Be (0.5000, 0.5000, 0.5000) [1 per cell]  4 As 2.24, 2 Br 2.41
As (0.0000, 0.5000, 0.5000) [2 per cell]  2 Be 2.24
Br (0.5000, 0.5000, 0.0000) [1 per cell]  2 Be 2.41


ii.
HfBeAs2Br: relaxed, PBE.

Summary:
- DOS at the Fermi energy: 5.351 states/eV per cell

Cell: 5.1909 5.1909 5.2046 Å, 90.00 90.00 90.00°
With the nearest neighbours (Å) after each atom.
Space group P4/mmm (No. 123)
Inequivalent atoms, fractional coordinates:
Hf (0.0000, 0.0000, 0.0000) [1 per cell]  4 As 2.60, 2 Br 2.60
Be (0.5000, 0.5000, 0.5000) [1 per cell]  4 Br 3.67, 8 As 3.68
As (0.0000, 0.5000, 0.0000) [2 per cell]  2 Hf 2.60
Br (0.0000, 0.0000, 0.5000) [1 per cell]  2 Hf 2.60


Of them, i has the highest stability.


i.
BeHgAsBr2: relaxed, PBE.

Summary:
- DOS at the Fermi energy: 2.815 states/eV per cell

Cell: 4.7555 4.7555 5.0132 Å, 90.00 90.00 90.00°
With the nearest neighbours (Å) after each atom.
Space group P4/mmm (No. 123)
Inequivalent atoms, fractional coordinates:
Be (0.0000, 0.0000, 0.0000) [1 per cell]  4 Br 2.38, 2 As 2.51
Hg (0.5000, 0.5000, 0.5000) [1 per cell]  4 As 3.36, 8 Br 3.45
As (0.0000, 0.0000, 0.5000) [1 per cell]  2 Be 2.51
Br (0.0000, 0.5000, 0.0000) [2 per cell]  2 Be 2.38


ii.
BeHgAsBr2: relaxed, PBE.

Summary:
- DOS at the Fermi energy: 1.760 states/eV per cell

Cell: 5.5992 5.5992 5.3343 Å, 90.00 90.00 90.00°
With the nearest neighbours (Å) after each atom.
Space group P4/mmm (No. 123)
Inequivalent atoms, fractional coordinates:
Be (0.0000, 0.0000, 0.0000) [1 per cell]  8 Br 3.87, 4 As 3.96
Hg (0.5000, 0.5000, 0.5000) [1 per cell]  2 As 2.67, 4 Br 2.80
As (0.5000, 0.5000, 0.0000) [1 per cell]  2 Hg 2.67
Br (0.0000, 0.5000, 0.5000) [2 per cell]  2 Hg 2.80


Of them, i has the highest stability.


i.
BeHgAs2Br: relaxed, PBE.

Summary:
- DOS at the Fermi energy: 3.338 states/eV per cell

Cell: 5.2199 5.2199 5.7187 Å, 90.00 90.00 90.00°
With the nearest neighbours (Å) after each atom.
Space group P4/mmm (No. 123)
Inequivalent atoms, fractional coordinates:
Be (0.0000, 0.0000, 0.0000) [1 per cell]  4 Br 3.69, 8 As 3.87
Hg (0.5000, 0.5000, 0.5000) [1 per cell]  4 As 2.61, 2 Br 2.86
As (0.0000, 0.5000, 0.5000) [2 per cell]  2 Hg 2.61
Br (0.5000, 0.5000, 0.0000) [1 per cell]  2 Hg 2.86


ii.
BeHgAs2Br: relaxed, PBE.

Summary:
- DOS at the Fermi energy: 3.976 states/eV per cell

Cell: 4.6619 4.6619 4.9418 Å, 90.00 90.00 90.00°
With the nearest neighbours (Å) after each atom.
Space group P4/mmm (No. 123)
Inequivalent atoms, fractional coordinates:
Be (0.0000, 0.0000, 0.0000) [1 per cell]  4 As 2.33, 2 Br 2.47
Hg (0.5000, 0.5000, 0.5000) [1 per cell]  4 Br 3.30, 8 As 3.40
As (0.0000, 0.5000, 0.0000) [2 per cell]  2 Be 2.33
Br (0.0000, 0.0000, 0.5000) [1 per cell]  2 Be 2.47


Of them, ii has the highest stability.